A crystal of P2Pb relaxed with PBEsol. Source: the Alexandria database, functional meta-GGA SCAN.

The structure belongs to space group P6_3/mmc (No. 194); the cell edges are 4.8818, 4.8818 and 5.7476 Å and the angles 90.00°, 90.00° and 120.00°. The asymmetric unit holds P at (0.0000, 0.0000, 0.0000), P at (0.3333, 0.6667, 0.2500) and Pb at (0.3333, 0.6667, 0.7500).

Its formation energy is 0.828 eV per atom. The density of states at the Fermi level is 1.7 states/eV/f.u. The crystal system is hexagonal.


A crystal of PPb2 relaxed with PBEsol. Source: the Alexandria database, functional meta-GGA SCAN.

The structure belongs to space group P-3m1 (No. 164); the cell edges are 3.9390, 3.9390 and 5.9441 Å and the angles 90.00°, 90.00° and 120.00°. The asymmetric unit holds P at (0.0000, 0.0000, 0.0000) and Pb at (0.3333, 0.6667, 0.2814).

Its formation energy is 0.091 eV per atom. The density of states at the Fermi level is 1.3 states/eV/f.u. The crystal system is trigonal.


A crystal of P2Pb relaxed with PBEsol. Source: the Alexandria database, functional meta-GGA SCAN.

The structure belongs to space group I4_1/amd (No. 141, origin choice 2); the cell edges are 4.133, 4.133 and 14.644 Å and the angles 90.00°, 90.00° and 90.00°. The asymmetric unit holds P at (0.000, 0.250, 0.295) and Pb at (0.000, 0.250, 0.875).

Its formation energy is 0.465 eV per atom. The density of states at the Fermi level is 1.1 states/eV/f.u. The crystal system is tetragonal.